Record 1
{"formula": "ScTi3Zn4", "functional": "PBE-GGA", "state": "optimized geometry", "lattice": [[-1.128, 1.867, -3.947], [2.316, -5.135, -3.090], [-8.105, -3.931, 0.458]], "species": ["Ti", "Ti", "Ti", "Ti", "Ti", "Ti", "Zn", "Zn", "Zn", "Zn", "Zn", "Zn", "Zn", "Zn", "Sc", "Sc"], "fractional_positions": [[0.499, 0.500, 0.250], [0.501, 0.000, 0.750], [0.499, 0.000, 0.250], [0.000, 0.000, 0.500], [0.000, 0.000, 0.000], [0.501, 0.500, 0.750], [0.001, 0.241, 0.750], [0.500, 0.241, 0.500], [0.999, 0.759, 0.250], [0.500, 0.759, 0.500], [0.999, 0.241, 0.250], [0.001, 0.759, 0.750], [0.500, 0.759, 0.000], [0.500, 0.241, 0.000], [0.000, 0.500, 0.000], [0.000, 0.500, 0.500]], "final_energy_ev_per_atom": -4.592, "sg": "Pmma (51)", "m_tot_mub_per_fu": 0.3, "e_form_mev_per_atom": -203}

---

Record 2
{"formula": "ScTi2Zn6", "functional": "PBE-GGA", "state": "optimized geometry", "lattice": [[-1.430, 1.932, 1.732], [-6.341, -1.340, -3.741], [1.735, -4.104, 6.012]], "species": ["Sc", "Ti", "Ti", "Zn", "Zn", "Zn", "Zn", "Zn", "Zn"], "fractional_positions": [[0.000, 0.000, 0.000], [0.000, 0.333, 0.667], [0.000, 0.667, 0.333], [0.500, 0.000, 0.663], [0.500, 0.663, 0.663], [0.500, 0.000, 0.337], [0.500, 0.337, 0.337], [0.500, 0.663, 0.000], [0.500, 0.337, 0.000]], "final_energy_ev_per_atom": -3.533, "sg": "P6/mmm (191)", "m_tot_mub_per_fu": 0.9, "e_form_mev_per_atom": -226}

---

Record 3
{"formula": "Sc5TiZn4", "functional": "PBE-GGA", "state": "optimized geometry", "lattice": [[3.259, 0.000, 0.000], [0.000, 3.259, 0.000], [0.000, 0.000, 18.075]], "species": ["Sc", "Sc", "Sc", "Sc", "Sc", "Zn", "Zn", "Zn", "Zn", "Ti"], "fractional_positions": [[0.500, 0.500, 0.309], [0.500, 0.500, 0.890], [0.500, 0.500, 0.500], [0.500, 0.500, 0.110], [0.500, 0.500, 0.691], [0.000, 0.000, 0.404], [0.000, 0.000, 0.790], [0.000, 0.000, 0.596], [0.000, 0.000, 0.210], [0.000, 0.000, 0.000]], "final_energy_ev_per_atom": -4.731, "sg": "P4/mmm (123)", "m_tot_mub_per_fu": 0.0, "e_form_mev_per_atom": -266}

---

Record 4
{"formula": "Sc2TiZn", "functional": "PBE-GGA", "state": "optimized geometry", "lattice": [[3.179, 0.000, 0.000], [1.590, 2.753, 0.000], [1.590, 0.918, 9.310]], "species": ["Sc", "Sc", "Zn", "Ti"], "fractional_positions": [[0.252, 0.252, 0.244], [0.082, 0.082, 0.755], [0.666, 0.666, 0.001], [0.500, 0.500, 0.500]], "final_energy_ev_per_atom": -5.482, "sg": "R3m (160)", "m_tot_mub_per_fu": 0.0, "e_form_mev_per_atom": -24}

---

Record 5
{"formula": "ZrSc2Ti", "functional": "PBE-GGA", "state": "optimized geometry", "lattice": [[-0.677, 10.172, 4.174], [2.352, 10.131, 3.631], [0.397, 10.921, 1.390]], "species": ["Sc", "Sc", "Zr", "Ti"], "fractional_positions": [[0.907, 0.907, 0.907], [0.093, 0.093, 0.093], [0.000, 0.000, 0.000], [0.500, 0.500, 0.500]], "final_energy_ev_per_atom": -7.066, "sg": "R-3m (166)", "relative_energy_mev_per_atom": 123.0, "m_tot_mub_per_fu": 0.0, "e_form_mev_per_atom": 211}

---

Record 6
{"formula": "Zr2ScTi", "functional": "PBE-GGA", "state": "optimized geometry", "lattice": [[3.141, 0.000, 0.000], [1.571, 2.720, 0.000], [1.571, 0.907, 10.255]], "species": ["Ti", "Zr", "Zr", "Sc"], "fractional_positions": [[0.000, 0.000, 0.000], [0.254, 0.254, 0.237], [0.746, 0.746, 0.763], [0.500, 0.500, 0.500]], "final_energy_ev_per_atom": -7.739, "sg": "R-3m (166)", "relative_energy_mev_per_atom": 34.7, "m_tot_mub_per_fu": 0.0, "e_form_mev_per_atom": 92}

---

Record 7
{"formula": "Zr3ScTi", "functional": "PBE-GGA", "state": "optimized geometry", "lattice": [[-0.068, 0.793, -4.939], [-0.499, -4.916, -0.782], [-4.978, 0.482, 0.146]], "species": ["Zr", "Zr", "Zr", "Ti", "Sc"], "fractional_positions": [[0.000, 0.000, 0.500], [0.500, 0.000, 0.000], [0.000, 0.500, 0.000], [0.000, 0.000, 0.000], [0.500, 0.500, 0.500]], "final_energy_ev_per_atom": -7.334, "sg": "Pm-3m (221)", "relative_energy_mev_per_atom": 511.8, "m_tot_mub_per_fu": 0.0, "e_form_mev_per_atom": 640}

---

Record 8
{"formula": "ZrScTi3", "functional": "PBE-GGA", "state": "optimized geometry", "lattice": [[4.843, 0.000, 0.000], [0.000, 4.843, 0.000], [0.000, 0.000, 4.843]], "species": ["Zr", "Ti", "Ti", "Ti", "Sc"], "fractional_positions": [[0.000, 0.000, 0.000], [0.000, 0.000, 0.500], [0.000, 0.500, 0.000], [0.500, 0.000, 0.000], [0.500, 0.500, 0.500]], "final_energy_ev_per_atom": -6.800, "sg": "Pm-3m (221)", "relative_energy_mev_per_atom": 0.0, "m_tot_mub_per_fu": 1.5, "e_form_mev_per_atom": 912}